Record 1
DFT (PBEsol) results for a relaxed structure of SrPOs2.

magnetization = 0.00 μB/f.u.
final energy = -31.503 eV per cell
energy of formation from the pure elements = 0.140 eV per atom

Structure (POSCAR):
```
SrPOs2
1.0
-0.5430 -2.6546 -1.2859
3.4841 2.3072 -2.7366
2.5941 -2.6569 4.3896
Sr Os P
1 2 1
direct
0.2502 0.5003 0.7241
0.0321 0.0642 0.1543
0.7579 0.5158 0.2139
0.4598 0.9196 0.4077
```

Record 2
DFT (PBEsol) results for a relaxed structure of Sr2POs.

magnetization = 0.00 μB/f.u.
final energy = -20.429 eV per cell
energy of formation from the pure elements = 0.315 eV per atom

Structure (POSCAR):
```
Sr2POs
1.0
3.0923 0.0000 0.0000
0.0000 5.4226 -0.0904
0.0000 -1.1910 5.2910
Os P Sr
1 1 2
direct
0.5000 0.0000 0.0000
0.5000 0.5000 0.5000
0.0000 0.5000 0.0000
0.0000 0.0000 0.5000
```

Record 3
DFT (PBEsol) results for a relaxed structure of SrP2Os.

magnetization = 0.00 μB/f.u.
final energy = -26.825 eV per cell
energy of formation from the pure elements = -0.297 eV per atom
polymorph energy (0 for the lowest one) = 10.4 kJ per mole of atoms

Structure (POSCAR):
```
SrP2Os
1.0
-0.3887 -2.9251 2.7155
1.4810 -4.4309 -1.5998
4.1853 -1.0940 2.3816
Os P Sr
1 2 1
direct
0.5000 0.0000 0.0000
0.8302 0.1698 0.1698
0.1698 0.8302 0.8302
0.0000 0.5000 0.5000
```

Among the records above, which one has the highest energy of formation from the pure elements? Sr2POs

The highest energy of formation from the pure elements belongs to which entry? Sr2POs

Please write out number 3 again, unchanged.
DFT (PBEsol) results for a relaxed structure of SrP2Os.

magnetization = 0.00 μB/f.u.
final energy = -26.825 eV per cell
energy of formation from the pure elements = -0.297 eV per atom
polymorph energy (0 for the lowest one) = 10.4 kJ per mole of atoms

Structure (POSCAR):
```
SrP2Os
1.0
-0.3887 -2.9251 2.7155
1.4810 -4.4309 -1.5998
4.1853 -1.0940 2.3816
Os P Sr
1 2 1
direct
0.5000 0.0000 0.0000
0.8302 0.1698 0.1698
0.1698 0.8302 0.8302
0.0000 0.5000 0.5000
```